Entry 1:
Below is a geometry-optimized CrSbW2 structure, with properties calculated at the PBE level.

Unit cell a=5.202 b=5.202 c=5.202 alpha=142.85 beta=130.18 gamma=63.75
Atoms (fractional coordinates):
Cr 0.000 0.000 0.000
Sb 0.245 0.745 0.500
W 0.509 0.509 0.000
W 0.760 0.260 0.500

Calculated values
total moment	0.3	μB/f.u.
space group	Imm2
energy	-9.435	eV per atom
raw formation energy	184	kJ/mol of formula units
mass density	14.01	g/cm3

Entry 2:
Below is a geometry-optimized Cr2SbW structure, with properties calculated at the PBE level.

Unit cell a=4.522 b=4.522 c=4.843 alpha=102.72 beta=102.72 gamma=40.21
Atoms (fractional coordinates):
Cr 0.241 0.241 0.221
Cr 0.759 0.759 0.779
Sb 0.000 0.000 0.500
W 0.500 0.500 0.000

Calculated values
total moment	0.6	μB/f.u.
space group	C2/m
energy	-8.577	eV per atom
raw formation energy	195	kJ/mol of formula units
mass density	10.94	g/cm3

Entry 3:
Below is a geometry-optimized CrSbW2 structure, with properties calculated at the PBE level.

Unit cell a=3.888 b=3.888 c=4.380 alpha=90.00 beta=90.00 gamma=90.00
Atoms (fractional coordinates):
Cr 0.000 0.000 0.000
Sb 0.500 0.500 0.000
W 0.000 0.500 0.500
W 0.500 0.000 0.500

Calculated values
total moment	2.1	μB/f.u.
space group	P4/mmm
energy	-9.386	eV per atom
raw formation energy	204	kJ/mol of formula units
mass density	13.58	g/cm3

Entry 4:
Below is a geometry-optimized CrSbW2 structure, with properties calculated at the PBE level.

Unit cell a=2.907 b=2.907 c=8.404 alpha=90.00 beta=90.00 gamma=108.79
Atoms (fractional coordinates):
Cr 0.000 0.000 0.000
Sb 0.500 0.500 0.247
W 0.000 0.000 0.523
W 0.500 0.500 0.772

Calculated values
total moment	1.4	μB/f.u.
space group	Cmm2
energy	-9.347	eV per atom
raw formation energy	219	kJ/mol of formula units
mass density	13.37	g/cm3

Entry 5:
Below is a geometry-optimized Cr2SbW structure, with properties calculated at the PBE level.

Unit cell a=2.958 b=3.951 c=5.378 alpha=90.00 beta=97.26 gamma=90.00
Atoms (fractional coordinates):
Cr 0.000 0.000 0.000
Cr 0.388 0.500 0.216
Sb 0.979 0.000 0.488
W 0.567 0.500 0.784

Calculated values
total moment	0.4	μB/f.u.
space group	Pm
energy	-8.611	eV per atom
raw formation energy	181	kJ/mol of formula units
mass density	10.91	g/cm3

Entry 6:
Below is a geometry-optimized Cr2SbW structure, with properties calculated at the PBE level.

Unit cell a=5.747 b=5.747 c=5.747 alpha=103.38 beta=103.38 gamma=122.49
Atoms (fractional coordinates):
Cr 0.092 0.625 0.967
Cr 0.375 0.342 0.467
Cr 0.658 0.125 0.033
Cr 0.875 0.908 0.533
Sb 0.250 0.750 0.500
Sb 0.500 0.500 0.000
W 0.000 0.000 0.000
W 0.750 0.250 0.500

Calculated values
total moment	3.9	μB/f.u.
space group	I-42d
energy	-8.139	eV per atom
raw formation energy	363	kJ/mol of formula units
mass density	9.69	g/cm3

Entry 7:
Below is a geometry-optimized CrSbW2 structure, with properties calculated at the PBE level.

Unit cell a=3.023 b=3.023 c=7.214 alpha=90.00 beta=90.00 gamma=90.00
Atoms (fractional coordinates):
Cr 0.000 0.000 0.000
Sb 0.000 0.000 0.500
W 0.500 0.500 0.211
W 0.500 0.500 0.789

Calculated values
total moment	0.0	μB/f.u.
space group	P4/mmm
energy	-9.377	eV per atom
raw formation energy	207	kJ/mol of formula units
mass density	13.64	g/cm3

Entry 8:
Below is a geometry-optimized CrSbW2 structure, with properties calculated at the PBE level.

Unit cell a=4.744 b=4.744 c=3.115 alpha=90.00 beta=90.00 gamma=110.20
Atoms (fractional coordinates):
Cr 0.000 0.000 0.000
Sb 0.500 0.500 0.000
W 0.000 0.500 0.500
W 0.500 0.000 0.500

Calculated values
total moment	0.7	μB/f.u.
space group	Cmmm
energy	-9.274	eV per atom
raw formation energy	247	kJ/mol of formula units
mass density	13.67	g/cm3